Computed, not measured: FeBF2 after structural relaxation at the PBE+U level of DFT.

Cell and atoms, written as CIF:
```
data_FeBF2
_space_group_name_H-M_alt 'I -4 2 d'
_space_group_IT_number 122
_space_group_name_Hall 'I -4 2bw'
_cell_length_a 3.493
_cell_length_b 3.493
_cell_length_c 14.231
_cell_angle_alpha 90.00
_cell_angle_beta 90.00
_cell_angle_gamma 90.00
loop_
_atom_site_label
_atom_site_fract_x
_atom_site_fract_y
_atom_site_fract_z
Fe1 0.000 0.000 0.000
B1 0.000 0.000 0.500
F1 0.239 0.250 0.125
```

Values from the calculation:
Mass density = 4.0 g/cm³
Excess energy over the best structure of this formula in the dataset = 0.0000 eV per atom
E_tot = -4.363 eV per atom
Volume = 10.85 Å³ per atom